Below is an optimized crystal structure of La5Ag3, with properties calculated at the PBE level.

Computed properties:
E above lowest polymorph, eV per formula unit: 0.24
D(E_F), states/eV per cell: 21.9
Formation energy, kJ/mol of atoms: -14.5

a b c (Å): 9.0926 9.0926 6.9337
angles (deg): 90.00 90.00 120.00
Space group P6_3/mcm (No. 193)
Symmetry-distinct sites (fractional):
1 La 0.0000 0.2374 0.2500 x6
2 La 0.3333 0.6667 0.0000 x4
3 Ag 0.0000 0.4012 0.7500 x6

Below is an optimized crystal structure of SrPrHo4S8, with properties calculated at the PBE level.

Computed properties:
D(E_F), states/eV per cell: 10.8
Formation energy without anion corrections, eV/atom: -1.9780

a b c (Å): 8.1451 8.1451 20.3222
angles (deg): 90.00 90.00 120.00
Space group R3m (No. 160, hexagonal axes)
Symmetry-distinct sites (fractional):
1 Sr 0.0000 0.0000 0.0000 x3
2 Pr 0.0000 0.0000 0.3716 x3
3 Ho 0.0000 0.0000 0.7478 x3
4 Ho 0.0047 0.5024 0.8739 x9
5 S 0.0000 0.0000 0.1381 x3
6 S 0.0000 0.0000 0.6155 x3
7 S 0.0123 0.5061 0.1292 x9
8 S 0.1822 0.3644 0.9476 x9

Below is an optimized crystal structure of InCuPb2, with properties calculated at the PBE level.

Computed properties:
D(E_F), states/eV per cell: 4.2
Formation energy, kJ/mol of atoms: 12.4

a b c (Å): 3.383 4.395 14.115
angles (deg): 90.00 90.00 90.00
Space group Immm (No. 71)
Symmetry-distinct sites (fractional):
1 In 0.000 0.000 0.000 x2
2 Cu 0.000 0.000 0.500 x2
3 Pb 0.000 0.500 0.175 x4

Below is an optimized crystal structure of Tm3As6Pd20, with properties calculated at the PBE level.

Computed properties:
D(E_F), states/eV per cell: 80.1
Formation energy, kJ/mol of atoms: -58.2

a b c (Å): 12.525 12.525 12.525
angles (deg): 90.00 90.00 90.00
Space group Fm-3m (No. 225)
Symmetry-distinct sites (fractional):
1 Tm 0.000 0.000 0.000 x4
2 Tm 0.250 0.250 0.250 x8
3 As 0.000 0.000 0.266 x24
4 Pd 0.000 0.173 0.173 x48
5 Pd 0.119 0.119 0.381 x32

Below is an optimized crystal structure of BrCl4, with properties calculated at the PBE level.

Computed properties:
E above lowest polymorph, eV per formula unit: 0.00
Formation energy without anion corrections, eV/atom: 0.0497

a b c (Å): 4.921 8.266 9.862
angles (deg): 72.73 80.24 74.91
Space group P1 (No. 1)
Symmetry-distinct sites (fractional):
1 Br 0.000 0.000 0.000 x1
2 Br 0.014 0.502 0.011 x1
3 Cl 0.128 0.216 0.138 x1
4 Cl 0.217 0.768 0.183 x1
5 Cl 0.305 0.221 0.438 x1
6 Cl 0.526 0.224 0.591 x1
7 Cl 0.648 0.714 0.642 x1
8 Cl 0.800 0.247 0.827 x1
9 Cl 0.878 0.742 0.449 x1
10 Cl 0.889 0.809 0.867 x1

Below is an optimized crystal structure of Tb2PmFe9, with properties calculated at the PBE level.

Computed properties:
D(E_F), states/eV per cell: 47.7
Formation energy, kJ/mol of atoms: -2.9

a b c (Å): 5.1340 5.1340 24.3614
angles (deg): 90.00 90.00 120.00
Space group R-3m (No. 166, hexagonal axes)
Symmetry-distinct sites (fractional):
1 Tb 0.0000 0.0000 0.1421 x6
2 Pm 0.0000 0.0000 0.0000 x3
3 Fe 0.0000 0.0000 0.3327 x6
4 Fe 0.0000 0.0000 0.5000 x3
5 Fe 0.0015 0.5007 0.0818 x18

Below is an optimized crystal structure of RbMg2In2, with properties calculated at the PBE level.

Computed properties:
E above lowest polymorph, eV per formula unit: 0.00
D(E_F), states/eV per cell: 4.0
Formation energy, kJ/mol of atoms: -4.4

a b c (Å): 9.483 9.483 3.174
angles (deg): 90.00 90.00 90.00
Space group P4/mbm (No. 127)
Symmetry-distinct sites (fractional):
1 Rb 0.000 0.000 0.000 x2
2 Mg 0.128 0.372 0.000 x4
3 In 0.161 0.661 0.500 x4

Below is an optimized crystal structure of La5Ag, with properties calculated at the PBE level.

Computed properties:
E above lowest polymorph, eV per formula unit: 0.07
D(E_F), states/eV per cell: 18.5
Formation energy, kJ/mol of atoms: -6.3

a b c (Å): 12.752 3.814 8.949
angles (deg): 90.00 110.80 90.00
Space group Cm (No. 8)
Symmetry-distinct sites (fractional):
1 La 0.000 0.000 0.000 x2
2 La 0.016 0.000 0.433 x2
3 La 0.154 0.500 0.786 x2
4 La 0.304 0.000 0.143 x2
5 La 0.334 0.000 0.612 x2
6 Ag 0.176 0.500 0.313 x2

Below is an optimized crystal structure of MgTa2Au, with properties calculated at the PBE level.

Computed properties:
D(E_F), states/eV per cell: 11.3
Formation energy, kJ/mol of atoms: 19.4

a b c (Å): 4.095 4.095 8.623
angles (deg): 90.00 90.00 90.00
Space group I-4m2 (No. 119)
Symmetry-distinct sites (fractional):
1 Mg 0.000 0.000 0.000 x2
2 Ta 0.000 0.000 0.500 x2
3 Ta 0.000 0.500 0.750 x2
4 Au 0.000 0.500 0.250 x2

Below is an optimized crystal structure of NbCrB, with properties calculated at the PBE level.

Computed properties:
E above lowest polymorph, eV per formula unit: 1.05
D(E_F), states/eV per cell: 12.7
Formation energy, kJ/mol of atoms: -9.5

a b c (Å): 3.1974 3.1974 25.6372
angles (deg): 90.00 90.00 120.00
Space group R3m (No. 160, hexagonal axes)
Symmetry-distinct sites (fractional):
1 Nb 0.0000 0.0000 0.0000 x3
2 Nb 0.0000 0.0000 0.2307 x3
3 Cr 0.0000 0.0000 0.4135 x3
4 Cr 0.0000 0.0000 0.8062 x3
5 B 0.0000 0.0000 0.5068 x3
6 B 0.0000 0.0000 0.6173 x3